[1]
Material: Hg2SbAs
Method: DFT, PBE-GGA
State: optimized geometry

Formation energy from raw total energies in eV per atom: 0.16
ΔE to the lowest computed polymorph in kJ/mol of atoms: 12.1
DOS at the Fermi energy in states/eV/cell: 2.85
Crystal system: orthorhombic

a = 3.8164 Å, b = 4.7533 Å, c = 11.7810 Å
α = 90.00°, β = 90.00°, γ = 90.00°
Space group Imm2 (No. 44)
Inequivalent atoms, fractional coordinates:
Hg 0.0000 0.0000 0.0000
Hg 0.0000 0.5000 0.1862
Sb 0.0000 0.0000 0.4137
As 0.0000 0.5000 0.7494

---

[2]
Material: DyYScHg
Method: DFT, PBE-GGA
State: optimized geometry

E_form in kJ/mol of formula units: -33.0
DOS at the Fermi energy in states/eV/cell: 23.18
Crystal system: cubic

a = 7.5159 Å, b = 7.5159 Å, c = 7.5159 Å
α = 90.00°, β = 90.00°, γ = 90.00°
Space group F-43m (No. 216)
Inequivalent atoms, fractional coordinates:
Dy 0.0000 0.0000 0.0000
Y 0.0000 0.0000 0.5000
Sc 0.2500 0.2500 0.2500
Hg 0.2500 0.2500 0.7500